(1)
Here is an optimized crystal structure of ZrAl2P from Alexandria. Energies are from GGA-PBE.

Computed properties:
Space-group type: P4/mmm, No. 123
Energy of formation from the pure elements in eV per atom: -0.314

a = 3.3972 Å, b = 3.3973 Å, c = 5.8566 Å
α = 90.00°, β = 90.00°, γ = 90.01°
With the nearest neighbours (Å) after each atom.
Fractional positions:
Zr 0.5000 0.5000 0.7500  8 Al 2.92, 2 P 2.93
Al 0.0000 0.0000 0.4666  1 Al 2.54, 4 P 2.72
P 0.5000 0.5000 0.2500  8 Al 2.72, 2 Zr 2.93
Al 0.0000 0.0000 0.0334  1 Al 2.54, 4 P 2.72



(2)
Here is an optimized crystal structure of Cs3NdU2Te6 from Alexandria. Energies are from GGA-PBE.

Computed properties:
Space-group type: C2/m, No. 12
Uncorrected formation energy in eV per atom: -1.02

a = 7.9730 Å, b = 7.9730 Å, c = 9.3621 Å
α = 98.15°, β = 98.15°, γ = 120.01°
With the nearest neighbours (Å) after each atom.
Fractional positions:
Te 0.4035 0.0647 0.1937  2 U 3.16, 1 Nd 3.21
Cs 0.5000 0.5000 0.5000  6 Te 3.80-3.84
Nd 0.0000 0.0000 0.0000  6 Te 3.21
U 0.3330 0.6670 0.0000  6 Te 3.16
Te 0.5965 0.9353 0.8063  2 U 3.16, 1 Nd 3.21
Te 0.9353 0.5965 0.8063  2 U 3.16, 1 Nd 3.21
Te 0.7252 0.7252 0.1928  2 U 3.16, 1 Nd 3.21
Cs 0.1648 0.8352 0.5000  6 Te 3.81-3.84
Te 0.0647 0.4035 0.1937  2 U 3.16, 1 Nd 3.21
U 0.6670 0.3330 0.0000  6 Te 3.16
Te 0.2748 0.2748 0.8072  2 U 3.16, 1 Nd 3.21
Cs 0.8352 0.1648 0.5000  6 Te 3.81-3.84



(3)
Here is an optimized crystal structure of CsCrRe2 from Alexandria. Energies are from GGA-PBE.

Computed properties:
Space-group type: I-42d, No. 122
Energy of formation from the pure elements in eV per atom: 1.914

a = 5.0572 Å, b = 5.0572 Å, c = 9.3364 Å
α = 74.29°, β = 74.29°, γ = 90.00°
With the nearest neighbours (Å) after each atom.
Fractional positions:
Re 0.4050 0.1250 0.2500  2 Cr 2.50, 2 Re 2.55
Re 0.8750 0.6550 0.7500  2 Cr 2.50, 2 Re 2.55
Cr 0.2500 0.7500 0.5000  4 Re 2.50
Cs 0.0000 0.0000 0.0000  8 Re 3.45-3.66, 4 Cr 3.58
Re 0.3450 0.6250 0.2500  2 Cr 2.50, 2 Re 2.55
Cs 0.7500 0.2500 0.5000  8 Re 3.45-3.66, 4 Cr 3.58
Re 0.3750 0.5950 0.7500  2 Cr 2.50, 2 Re 2.55
Cr 0.5000 0.5000 0.0000  4 Re 2.50



(4)
Here is an optimized crystal structure of CuMo2Pd8 from Alexandria. Energies are from GGA-PBE.

Computed properties:
Space-group type: C2/m, No. 12
Energy of formation from the pure elements in eV per atom: -0.076

a = 3.9083 Å, b = 6.2013 Å, c = 7.3789 Å
α = 104.27°, β = 105.36°, γ = 90.00°
With the nearest neighbours (Å) after each atom.
Fractional positions:
Pd 0.9537 0.2683 0.9074  2 Cu 2.75, 9 Pd 2.77-2.84, 1 Mo 2.83
Pd 0.6813 0.9130 0.3626  8 Pd 2.75-2.80, 1 Cu 2.77, 3 Mo 2.80-2.83
Pd 0.4069 0.5454 0.8137  3 Mo 2.71-2.76, 8 Pd 2.75-2.85, 1 Cu 2.79
Pd 0.5931 0.4546 0.1863  3 Mo 2.71-2.76, 8 Pd 2.75-2.85, 1 Cu 2.79
Cu 0.5000 0.0000 0.0000  12 Pd 2.75-2.81
Pd 0.1385 0.1855 0.2771  3 Mo 2.72-2.76, 7 Pd 2.75-2.81, 2 Cu 2.81
Pd 0.8615 0.8145 0.7229  3 Mo 2.72-2.76, 7 Pd 2.75-2.81, 2 Cu 2.81
Mo 0.7712 0.3712 0.5425  2 Mo 2.69, 10 Pd 2.71-2.83
Mo 0.2288 0.6288 0.4575  2 Mo 2.69, 10 Pd 2.71-2.83
Pd 0.0463 0.7317 0.0926  2 Cu 2.75, 9 Pd 2.77-2.84, 1 Mo 2.83
Pd 0.3187 0.0870 0.6374  8 Pd 2.75-2.80, 1 Cu 2.77, 3 Mo 2.80-2.83



(5)
Here is an optimized crystal structure of Ti4ReTc from Alexandria. Energies are from GGA-PBE.

Computed properties:
Space-group type: C2/m, No. 12
Energy of formation from the pure elements in eV per atom: 0.127

a = 4.2735 Å, b = 4.2660 Å, c = 7.4202 Å
α = 73.31°, β = 73.26°, γ = 59.94°
With the nearest neighbours (Å) after each atom.
Fractional positions:
Ti 0.8748 0.8747 0.3757  3 Tc 2.61-2.62, 1 Re 2.63
Ti 0.3752 0.3752 0.8743  3 Re 2.61-2.62, 1 Tc 2.62
Re 0.0000 0.0000 0.0000  8 Ti 2.61-2.63
Ti 0.6248 0.6248 0.1257  3 Re 2.61-2.62, 1 Tc 2.62
Ti 0.1252 0.1253 0.6243  3 Tc 2.61-2.62, 1 Re 2.63
Tc 0.5000 0.5000 0.5000  8 Ti 2.61-2.62



(6)
Here is an optimized crystal structure of AcCeGaPd from Alexandria. Energies are from GGA-PBE.

Computed properties:
Space-group type: F-43m, No. 216
Energy of formation from the pure elements in eV per atom: -0.475

a = 5.3111 Å, b = 5.3111 Å, c = 5.3111 Å
α = 60.00°, β = 60.00°, γ = 60.00°
With the nearest neighbours (Å) after each atom.
Fractional positions:
Pd 0.5000 0.5000 0.5000  4 Ce 3.25, 4 Ac 3.25
Ce 0.7500 0.7500 0.7500  4 Pd 3.25, 4 Ga 3.25
Ga 0.0000 0.0000 0.0000  4 Ac 3.25, 4 Ce 3.25
Ac 0.2500 0.2500 0.2500  4 Pd 3.25, 4 Ga 3.25



Number 1: total DFT energy (no corrections) -22.7 eV per cell, D(E_F) 1.126 states/eV/cell. Number 2: total DFT energy (no corrections) -61.0 eV per cell, D(E_F) 15.639 states/eV/cell. Number 3: total DFT energy (no corrections) -55.4 eV per cell, D(E_F) 7.659 states/eV/cell. Number 4: total DFT energy (no corrections) -68.1 eV per cell, D(E_F) 10.327 states/eV/cell. Number 5: total DFT energy (no corrections) -53.6 eV per cell, D(E_F) 6.739 states/eV/cell. Number 6: total DFT energy (no corrections) -20.2 eV per cell, D(E_F) 8.375 states/eV/cell.